No. 1
Crystalline Y5ThMg6 at its relaxed geometry, computed with GGA-PBE.

## Properties
ΔH_f (0 K): -7.5 kJ per mole of atoms
total magnetic moment: 0.00 μB per cell

```
data_Y5ThMg6
_cell_length_a 5.379
_cell_length_b 7.618
_cell_length_c 8.504
_cell_angle_alpha 90.00
_cell_angle_beta 71.60
_cell_angle_gamma 90.00
_space_group_name_H-M_alt 'P 1'
_space_group_IT_number 1
loop_
_space_group_symop_operation_xyz
'x,y,z'
loop_
_atom_site_label
_atom_site_fract_x
_atom_site_fract_y
_atom_site_fract_z
Y1 0.665 0.500 0.670
Y2 0.335 0.000 0.330
Y3 0.000 0.500 0.000
Y4 0.665 0.000 0.670
Y5 0.335 0.500 0.330
Mg1 0.831 0.748 0.337
Mg2 0.831 0.252 0.337
Mg3 0.500 0.254 0.000
Mg4 0.500 0.746 0.000
Mg5 0.169 0.748 0.663
Mg6 0.169 0.252 0.663
Th1 0.000 0.000 0.000
```

=====

No. 2
Crystalline Y3Th2Mg at its relaxed geometry, computed with GGA-PBE.

## Properties
ΔH_f (0 K): -1.9 kJ per mole of atoms
total magnetic moment: 0.00 μB per cell

```
data_Y3Th2Mg
_cell_length_a 3.596
_cell_length_b 3.596
_cell_length_c 14.300
_cell_angle_alpha 90.00
_cell_angle_beta 90.00
_cell_angle_gamma 90.00
_space_group_name_H-M_alt 'P 1'
_space_group_IT_number 1
loop_
_space_group_symop_operation_xyz
'x,y,z'
loop_
_atom_site_label
_atom_site_fract_x
_atom_site_fract_y
_atom_site_fract_z
Y1 0.000 0.000 0.000
Y2 0.000 0.000 0.654
Y3 0.000 0.000 0.346
Th1 0.500 0.500 0.823
Th2 0.500 0.500 0.177
Mg1 0.500 0.500 0.500
```

=====

No. 3
Crystalline Y5ThMg4 at its relaxed geometry, computed with GGA-PBE.

## Properties
ΔH_f (0 K): -7.5 kJ per mole of atoms
total magnetic moment: 0.00 μB per cell

```
data_Y5ThMg4
_cell_length_a 3.738
_cell_length_b 3.738
_cell_length_c 20.395
_cell_angle_alpha 90.00
_cell_angle_beta 90.00
_cell_angle_gamma 90.00
_space_group_name_H-M_alt 'P 1'
_space_group_IT_number 1
loop_
_space_group_symop_operation_xyz
'x,y,z'
loop_
_atom_site_label
_atom_site_fract_x
_atom_site_fract_y
_atom_site_fract_z
Y1 0.500 0.500 0.115
Y2 0.500 0.500 0.311
Y3 0.500 0.500 0.500
Y4 0.500 0.500 0.689
Y5 0.500 0.500 0.885
Th1 0.000 0.000 0.000
Mg1 0.000 0.000 0.214
Mg2 0.000 0.000 0.405
Mg3 0.000 0.000 0.595
Mg4 0.000 0.000 0.786
```

=====

No. 4
Crystalline YTh2Mg at its relaxed geometry, computed with GGA-PBE.

## Properties
ΔH_f (0 K): 16.0 kJ per mole of atoms
total magnetic moment: 0.00 μB per cell

```
data_YTh2Mg
_cell_length_a 5.559
_cell_length_b 5.559
_cell_length_c 5.559
_cell_angle_alpha 60.00
_cell_angle_beta 60.00
_cell_angle_gamma 60.00
_space_group_name_H-M_alt 'P 1'
_space_group_IT_number 1
loop_
_space_group_symop_operation_xyz
'x,y,z'
loop_
_atom_site_label
_atom_site_fract_x
_atom_site_fract_y
_atom_site_fract_z
Y1 0.500 0.500 0.500
Mg1 0.000 0.000 0.000
Th1 0.250 0.250 0.250
Th2 0.750 0.750 0.750
```

=====

No. 5
Crystalline YTh2Mg at its relaxed geometry, computed with GGA-PBE.

## Properties
ΔH_f (0 K): 23.8 kJ per mole of atoms
total magnetic moment: 0.00 μB per cell

```
data_YTh2Mg
_cell_length_a 3.368
_cell_length_b 3.368
_cell_length_c 12.713
_cell_angle_alpha 82.39
_cell_angle_beta 82.39
_cell_angle_gamma 60.00
_space_group_name_H-M_alt 'P 1'
_space_group_IT_number 1
loop_
_space_group_symop_operation_xyz
'x,y,z'
loop_
_atom_site_label
_atom_site_fract_x
_atom_site_fract_y
_atom_site_fract_z
Y1 0.000 0.000 0.000
Mg1 0.500 0.500 0.500
Th1 0.089 0.089 0.732
Th2 0.911 0.911 0.268
```

=====

No. 6
Crystalline YTh2Mg at its relaxed geometry, computed with GGA-PBE.

## Properties
ΔH_f (0 K): 8.2 kJ per mole of atoms
total magnetic moment: 0.00 μB per cell

```
data_YTh2Mg
_cell_length_a 3.487
_cell_length_b 3.487
_cell_length_c 10.088
_cell_angle_alpha 90.00
_cell_angle_beta 90.00
_cell_angle_gamma 90.00
_space_group_name_H-M_alt 'P 1'
_space_group_IT_number 1
loop_
_space_group_symop_operation_xyz
'x,y,z'
loop_
_atom_site_label
_atom_site_fract_x
_atom_site_fract_y
_atom_site_fract_z
Y1 0.500 0.500 0.500
Mg1 0.500 0.500 0.000
Th1 0.000 0.000 0.760
Th2 0.000 0.000 0.240
```

=====

No. 7
Crystalline YTh2Mg at its relaxed geometry, computed with GGA-PBE.

## Properties
ΔH_f (0 K): 6.2 kJ per mole of atoms
total magnetic moment: 0.00 μB per cell

```
data_YTh2Mg
_cell_length_a 5.071
_cell_length_b 4.881
_cell_length_c 4.881
_cell_angle_alpha 90.00
_cell_angle_beta 90.00
_cell_angle_gamma 90.00
_space_group_name_H-M_alt 'P 1'
_space_group_IT_number 1
loop_
_space_group_symop_operation_xyz
'x,y,z'
loop_
_atom_site_label
_atom_site_fract_x
_atom_site_fract_y
_atom_site_fract_z
Y1 0.500 0.000 0.000
Mg1 0.500 0.500 0.500
Th1 0.000 0.000 0.500
Th2 0.000 0.500 0.000
```

=====

No. 8
Crystalline Y4ThMg at its relaxed geometry, computed with GGA-PBE.

## Properties
ΔH_f (0 K): -1.0 kJ per mole of atoms
total magnetic moment: 0.00 μB per cell

```
data_Y4ThMg
_cell_length_a 3.630
_cell_length_b 3.630
_cell_length_c 14.106
_cell_angle_alpha 89.99
_cell_angle_beta 89.99
_cell_angle_gamma 90.01
_space_group_name_H-M_alt 'P 1'
_space_group_IT_number 1
loop_
_space_group_symop_operation_xyz
'x,y,z'
loop_
_atom_site_label
_atom_site_fract_x
_atom_site_fract_y
_atom_site_fract_z
Y1 0.500 0.500 0.829
Y2 0.500 0.500 0.171
Y3 0.000 0.000 0.647
Y4 0.000 0.000 0.353
Th1 0.000 0.000 0.000
Mg1 0.500 0.500 0.500
```

=====

No. 9
Crystalline Y2Th2Mg at its relaxed geometry, computed with GGA-PBE.

## Properties
ΔH_f (0 K): -3.3 kJ per mole of atoms
total magnetic moment: 0.00 μB per cell

```
data_Y2Th2Mg
_cell_length_a 3.626
_cell_length_b 3.626
_cell_length_c 11.838
_cell_angle_alpha 98.81
_cell_angle_beta 98.81
_cell_angle_gamma 90.00
_space_group_name_H-M_alt 'P 1'
_space_group_IT_number 1
loop_
_space_group_symop_operation_xyz
'x,y,z'
loop_
_atom_site_label
_atom_site_fract_x
_atom_site_fract_y
_atom_site_fract_z
Y1 0.592 0.592 0.183
Y2 0.408 0.408 0.817
Th1 0.802 0.802 0.605
Th2 0.198 0.198 0.395
Mg1 0.000 0.000 0.000
```

=====

No. 10
Crystalline Y4ThMg at its relaxed geometry, computed with GGA-PBE.

## Properties
ΔH_f (0 K): 3.6 kJ per mole of atoms
total magnetic moment: 0.00 μB per cell

```
data_Y4ThMg
_cell_length_a 5.450
_cell_length_b 6.701
_cell_length_c 6.553
_cell_angle_alpha 97.13
_cell_angle_beta 65.43
_cell_angle_gamma 66.00
_space_group_name_H-M_alt 'P 1'
_space_group_IT_number 1
loop_
_space_group_symop_operation_xyz
'x,y,z'
loop_
_atom_site_label
_atom_site_fract_x
_atom_site_fract_y
_atom_site_fract_z
Y1 0.652 0.700 0.995
Y2 0.348 0.300 0.005
Y3 0.139 0.166 0.557
Y4 0.861 0.834 0.443
Th1 0.500 0.500 0.500
Mg1 0.000 0.000 0.000
```

=====

No. 11
Crystalline YTh2Mg at its relaxed geometry, computed with GGA-PBE.

## Properties
ΔH_f (0 K): 10.2 kJ per mole of atoms
total magnetic moment: 0.00 μB per cell

```
data_YTh2Mg
_cell_length_a 3.461
_cell_length_b 3.461
_cell_length_c 12.006
_cell_angle_alpha 81.72
_cell_angle_beta 81.72
_cell_angle_gamma 59.99
_space_group_name_H-M_alt 'P 1'
_space_group_IT_number 1
loop_
_space_group_symop_operation_xyz
'x,y,z'
loop_
_atom_site_label
_atom_site_fract_x
_atom_site_fract_y
_atom_site_fract_z
Y1 0.666 0.666 0.001
Th1 0.085 0.085 0.745
Th2 0.248 0.248 0.254
Mg1 0.500 0.500 0.500
```

=====

No. 12
Crystalline YThMgZn at its relaxed geometry, computed with GGA-PBE.

## Properties
ΔH_f (0 K): -9.3 kJ per mole of atoms
total magnetic moment: 0.00 μB per cell

```
data_YThMgZn
_cell_length_a 5.257
_cell_length_b 5.257
_cell_length_c 5.257
_cell_angle_alpha 60.00
_cell_angle_beta 60.00
_cell_angle_gamma 60.00
_space_group_name_H-M_alt 'P 1'
_space_group_IT_number 1
loop_
_space_group_symop_operation_xyz
'x,y,z'
loop_
_atom_site_label
_atom_site_fract_x
_atom_site_fract_y
_atom_site_fract_z
Y1 0.750 0.750 0.750
Zn1 0.000 0.000 0.000
Mg1 0.500 0.500 0.500
Th1 0.250 0.250 0.250
```

=====

DOS at the Fermi energy in states/eV/cell, matching the order above: 13.4; 5.6; 13.7; 4.7; 4.1; 4.9; 5.7; 8.5; 8.4; 7.7; 5.7; 3.5